AlSiSnPb2 | meta-GGA SCAN | single point on PBEsol structure

Cell lengths 5.292, 5.292, 5.139 Å; angles 90.00, 90.00, 90.00 degrees
Space group P4/mmm (No. 123)
One atom of each set of equivalent atoms:
1 Al 0.000 0.000 0.000
2 Si 0.500 0.500 0.500
3 Sn 0.000 0.000 0.500
4 Pb 0.000 0.500 0.000

Properties
Density in g cm⁻³: 6.8
Raw formation energy in eV per atom: 0.804
Energy in eV per atom: -40.25